(1)
Computed, not measured: Nd2Ho6Er3In after structural relaxation at the PBE-GGA level of DFT.

The structure belongs to space group C2/m (No. 12); the cell edges are 6.066, 10.512 and 11.675 Å and the angles 90.00°, 99.99° and 90.00°. The inequivalent atoms are Nd at (0.000, 0.166, 0.000), Ho at (0.244, 0.500, 0.748), Ho at (0.247, 0.336, 0.251), Er at (0.000, 0.000, 0.500), Er at (0.000, 0.333, 0.500) and In at (0.000, 0.500, 0.000).

The calculation puts the energy relative to the elements at -0.652 eV per formula unit.

(2)
Computed, not measured: Hf2Pt2Pb after structural relaxation at the PBE-GGA level of DFT.

The structure belongs to space group I4/mmm (No. 139); the cell edges are 4.560, 4.560 and 10.887 Å and the angles 90.00°, 90.00° and 90.00°. The inequivalent atoms are Hf at (0.000, 0.500, 0.250), Pt at (0.000, 0.000, 0.123) and Pb at (0.000, 0.000, 0.500).

The calculation puts the energy relative to the elements at -3.345 eV per formula unit.

(3)
Computed, not measured: Li2DyHgAu2 after structural relaxation at the PBE-GGA level of DFT.

The structure belongs to space group P-3m1 (No. 164); the cell edges are 4.5802, 4.5802 and 6.4410 Å and the angles 90.00°, 90.00° and 120.00°. The inequivalent atoms are Li at (0.3333, 0.6667, 0.1589), Dy at (0.0000, 0.0000, 0.5000), Hg at (0.0000, 0.0000, 0.0000) and Au at (0.3333, 0.6667, 0.7297).

The calculation puts the energy relative to the elements at -3.422 eV per formula unit.

(4)
Computed, not measured: TiV2Pt2 after structural relaxation at the PBE-GGA level of DFT.

The structure belongs to space group P4/mbm (No. 127); the cell edges are 7.550, 7.550 and 2.701 Å and the angles 90.00°, 90.00° and 90.00°. The inequivalent atoms are Ti at (0.000, 0.000, 0.000), V at (0.115, 0.385, 0.000) and Pt at (0.179, 0.679, 0.500).

The calculation puts the energy relative to the elements at -1.973 eV per formula unit. The calculation puts the energy relative to the lowest polymorph listed for this composition at 0.0 meV/atom.

(5)
Computed, not measured: Pr8TmCd2 after structural relaxation at the PBE-GGA level of DFT.

The structure belongs to space group C2/m (No. 12); the cell edges are 17.272, 5.420 and 8.553 Å and the angles 90.00°, 114.03° and 90.00°. The inequivalent atoms are Pr at (0.052, 0.000, 0.240), Pr at (0.103, 0.500, 0.968), Pr at (0.147, 0.000, 0.704), Pr at (0.187, 0.500, 0.454), Tm at (0.000, 0.500, 0.500) and Cd at (0.222, 0.000, 0.132).

The calculation puts the energy relative to the elements at -0.806 eV per formula unit. The calculation puts the energy relative to the lowest polymorph listed for this composition at 0.0 meV/atom.

(6)
Computed, not measured: KLi2S2 after structural relaxation at the PBE-GGA level of DFT.

The structure belongs to space group I4/mmm (No. 139); the cell edges are 4.238, 4.238 and 11.089 Å and the angles 90.00°, 90.00° and 90.00°. The inequivalent atoms are K at (0.000, 0.000, 0.000), Li at (0.000, 0.500, 0.250) and S at (0.000, 0.000, 0.363).

As for the uncorrected formation energy: -1.013 eV per atom. The calculation puts the energy relative to the lowest polymorph listed for this composition at 0.0 meV/atom.

(7)
Computed, not measured: BeCrP2Cl after structural relaxation at the PBE-GGA level of DFT.

The structure belongs to space group P4/mmm (No. 123); the cell edges are 4.146, 4.146 and 4.658 Å and the angles 90.00°, 90.00° and 90.00°. The inequivalent atoms are Be at (0.000, 0.000, 0.000), Cr at (0.500, 0.500, 0.500), P at (0.000, 0.500, 0.000) and Cl at (0.000, 0.000, 0.500).

As for the uncorrected formation energy: 0.900 eV per atom. The calculation puts the energy relative to the lowest polymorph listed for this composition at 235.7 meV/atom.

(8)
Computed, not measured: U5Rh3Se12 after structural relaxation at the PBE-GGA level of DFT.

The structure belongs to space group Ia-3d (No. 230); the cell edges are 16.111, 16.111 and 16.111 Å and the angles 90.00°, 90.00° and 90.00°. The inequivalent atoms are U at (0.000, 0.000, 0.000), U at (0.000, 0.250, 0.375), Rh at (0.000, 0.250, 0.125) and Se at (0.029, 0.092, 0.645).

As for the uncorrected formation energy: -0.308 eV per atom.

(9)
Computed, not measured: Mg2TaFe after structural relaxation at the PBE-GGA level of DFT.

The structure belongs to space group P4mm (No. 99); the cell edges are 3.131, 3.131 and 7.138 Å and the angles 90.00°, 90.00° and 90.00°. The inequivalent atoms are Mg at (0.000, 0.000, 0.000), Mg at (0.500, 0.500, 0.303), Ta at (0.000, 0.000, 0.590) and Fe at (0.500, 0.500, 0.755).

The calculation puts the energy relative to the elements at 0.359 eV per formula unit. The calculation puts the energy relative to the lowest polymorph listed for this composition at 0.0 meV/atom.

(10)
Computed, not measured: Tc3MoBr after structural relaxation at the PBE-GGA level of DFT.

The structure belongs to space group Pm-3m (No. 221); the cell edges are 4.786, 4.786 and 4.786 Å and the angles 90.00°, 90.00° and 90.00°. The inequivalent atoms are Tc at (0.000, 0.000, 0.500), Mo at (0.000, 0.000, 0.000) and Br at (0.500, 0.500, 0.500).

As for the uncorrected formation energy: 1.912 eV per atom. The calculation puts the energy relative to the lowest polymorph listed for this composition at 98.9 meV/atom.

(11)
Computed, not measured: NaSr2Ga after structural relaxation at the PBE-GGA level of DFT.

The structure belongs to space group I-42d (No. 122); the cell edges are 9.364, 9.364 and 7.532 Å and the angles 90.00°, 90.00° and 90.00°. The inequivalent atoms are Na at (0.000, 0.000, 0.000), Sr at (0.200, 0.750, 0.625) and Ga at (0.000, 0.000, 0.500).

The calculation puts the energy relative to the elements at 0.222 eV per formula unit.

(12)
Computed, not measured: PaTc2P3 after structural relaxation at the PBE-GGA level of DFT.

The structure belongs to space group Pmc2_1 (No. 26); the cell edges are 3.690, 8.896 and 6.141 Å and the angles 90.00°, 90.00° and 90.00°. The inequivalent atoms are Pa at (0.000, 0.137, 0.000), Tc at (0.000, 0.233, 0.516), Tc at (0.500, 0.498, 0.011), P at (0.000, 0.417, 0.782), P at (0.500, 0.084, 0.647) and P at (0.500, 0.282, 0.277).

The calculation puts the energy relative to the elements at -4.297 eV per formula unit.

| no. | total energy (eV/atom) |
| --- | --- |
| 1 | -4.51 |
| 2 | -7.81 |
| 3 | -3.12 |
| 4 | -8.04 |
| 5 | -4.12 |
| 6 | -3.65 |
| 7 | -4.30 |
| 8 | -6.32 |
| 9 | -5.79 |
| 10 | -6.81 |
| 11 | -1.87 |
| 12 | -8.46 |